(1)
Here is a geometry-optimized Na5Tl2CdHg2 structure from Alexandria via LeMat-Bulk. Energies are from PBE.

Summary:
The calculation puts the total magnetization at 0.000 μB per atom. For the energy of formation, the calculation gives -87 meV/atom. The calculation puts the energy at -1.371 eV/atom. Its space group is P4/mbm (127). Its crystal system is tetragonal.

Unit cell a=11.457 b=11.457 c=4.417 alpha=90.00 beta=90.00 gamma=90.00
Fractional coordinates of all 20 atoms:
1 Na 0.000 0.500 0.000
2 Na 0.090 0.186 0.000
3 Na 0.186 0.910 0.000
4 Na 0.314 0.410 0.000
5 Na 0.410 0.686 0.000
6 Na 0.500 0.000 0.000
7 Na 0.590 0.314 0.000
8 Na 0.686 0.590 0.000
9 Na 0.814 0.090 0.000
10 Na 0.910 0.814 0.000
11 Tl 0.165 0.665 0.500
12 Tl 0.335 0.165 0.500
13 Tl 0.665 0.835 0.500
14 Tl 0.835 0.335 0.500
15 Cd 0.000 0.000 0.500
16 Cd 0.500 0.500 0.500
17 Hg 0.132 0.368 0.500
18 Hg 0.368 0.868 0.500
19 Hg 0.632 0.132 0.500
20 Hg 0.868 0.632 0.500

---

(2)
Here is a geometry-optimized Mn3VS8 structure from Alexandria via LeMat-Bulk. Energies are from PBE.

Summary:
The calculation puts the total magnetization at 0.758 μB per atom. The energy relative to the elements, uncorrected is -53.1 kJ/mol of atoms. The calculation puts the energy at -6.354 eV/atom. Its space group is P6_3mc (186). Its crystal system is hexagonal.

Unit cell a=6.772 b=6.772 c=10.740 alpha=90.00 beta=90.00 gamma=120.00
Fractional coordinates of all 24 atoms:
1 Mn 0.170 0.340 0.000
2 Mn 0.170 0.830 0.000
3 Mn 0.340 0.170 0.500
4 Mn 0.660 0.830 0.000
5 Mn 0.830 0.170 0.500
6 Mn 0.830 0.660 0.500
7 V 0.333 0.667 0.270
8 V 0.667 0.333 0.770
9 S 0.000 0.000 0.117
10 S 0.000 0.000 0.617
11 S 0.017 0.509 0.125
12 S 0.165 0.329 0.378
13 S 0.165 0.835 0.378
14 S 0.329 0.165 0.878
15 S 0.333 0.667 0.880
16 S 0.491 0.509 0.125
17 S 0.491 0.983 0.125
18 S 0.509 0.017 0.625
19 S 0.509 0.491 0.625
20 S 0.667 0.333 0.380
21 S 0.671 0.835 0.378
22 S 0.835 0.165 0.878
23 S 0.835 0.671 0.878
24 S 0.983 0.491 0.625

---

(3)
Here is a geometry-optimized ZrCu3Re structure from Alexandria via LeMat-Bulk. Energies are from PBE.

Summary:
The value obtained for the energy above the most stable polymorph in this dataset is 0.000 eV/atom. The calculation puts the total magnetization at 0.000 μB per atom. For the energy of formation, the calculation gives 1119 meV/atom. The calculation puts the energy at -5.538 eV/atom. Its space group is Pm-3m (221). Its crystal system is cubic.

Unit cell a=4.563 b=4.563 c=4.563 alpha=90.00 beta=90.00 gamma=90.00
Fractional coordinates of all 5 atoms:
1 Zr 0.000 0.000 0.000
2 Cu 0.000 0.500 0.500
3 Cu 0.500 0.000 0.500
4 Cu 0.500 0.500 0.000
5 Re 0.500 0.500 0.500